(1)
# ScGaHg2W

A relaxed ScGaHg2W crystal (PBE, Alexandria).

POSCAR file:
```
ScGaHg2W
1.0
5.476 0.000 0.000
0.000 5.476 0.000
0.000 0.000 4.840
Sc Ga Hg W
1 1 2 1
direct
0.000 0.000 0.000
0.500 0.500 0.500
0.000 0.500 0.000
0.500 0.000 0.000
0.000 0.000 0.500
```

- Raw total energy: -3.27 eV per atom
- Formation enthalpy at 0 K: 6.584 eV/f.u.
- DOS at the Fermi energy: 3.897 states/eV/f.u.
- Total magnetization: 1.7 μB per formula unit

***

(2)
# ScZnGaHg

A relaxed ScZnGaHg crystal (PBE, Alexandria).

POSCAR file:
```
ScZnGaHg
1.0
0.000 3.367 3.367
3.367 0.000 3.367
3.367 3.367 0.000
Sc Zn Ga Hg
1 1 1 1
direct
0.000 0.000 0.000
0.500 0.500 0.500
0.250 0.250 0.250
0.750 0.750 0.750
```

- Raw total energy: -2.97 eV per atom
- Formation enthalpy at 0 K: -0.942 eV/f.u.
- DOS at the Fermi energy: 1.115 states/eV/f.u.
- Energy relative to the lowest polymorph listed for this composition: 8.1 kJ per mole of atoms
- Total magnetization: 0.0 μB per formula unit

***

- What is the formula in the first record?
  ScGaHg2W